## Dy5Sn2Ir (PBE-GGA)

Data for an optimized crystal structure of Dy5Sn2Ir.

a = 5.8664 Å, b = 9.7934 Å, c = 15.7098 Å
α = 90.00°, β = 90.00°, γ = 90.00°
With the nearest neighbours (Å) after each atom.
Space group Cmcm (No. 63)
One atom of each set of equivalent atoms:
Dy (0.0000, 0.0730, 0.1073) (multiplicity 8)  1 Ir 2.70
Dy (0.0000, 0.2518, 0.7500) (multiplicity 4)  2 Ir 2.94, 2 Sn 3.10
Dy (0.0000, 0.4159, 0.1254) (multiplicity 8)  1 Ir 2.70
Sn (0.0000, 0.2608, 0.5529) (multiplicity 8)  7 Dy 3.10-3.46, 2 Sn 3.38
Ir (0.0000, 0.2264, 0.2500) (multiplicity 4)  6 Dy 2.70-2.94

calculated total energy	-43.38	eV per formula unit
ΔE_f	-10.11	kcal/mol of atoms
spin magnetization	0.00	μB per atom